Record 1
Computed, not measured: crystalline PaAl5 at its relaxed geometry at the PBE level of DFT.

```
6
Lattice="-1.7160 2.5014 -3.0564 2.8758 -2.6774 -3.8059 -4.9982 -1.7425 1.3802" Properties=species:S:1:pos:R:3 pbc="T T T"
Al -0.6069 -1.1150 -3.6053
Al -1.0634 -2.2146 -1.2154
Al -3.2315 -0.8034 -1.8766
Al -2.4938 -0.8694 0.6886
Al 1.4348 -1.3358 -1.8989
Pa -0.8580 1.2507 -1.5282
```

Computed properties:
E_form   -84 meV per atom

Record 2
Computed, not measured: crystalline PaAl3 at its relaxed geometry at the PBE level of DFT.

```
4
Lattice="-2.1022 0.0594 -3.7521 -3.3516 -1.9640 1.8467 -1.6877 3.8262 1.0061" Properties=species:S:1:pos:R:3 pbc="T T T"
Al -1.8950 1.9428 -1.3730
Al -2.7269 -0.9523 -0.9527
Al -2.5197 0.9311 1.4264
Pa 0.0000 0.0000 0.0000
```

Computed properties:
E_form   -254 meV per atom

Record 3
Computed, not measured: crystalline PaAl5 at its relaxed geometry at the PBE level of DFT.

```
6
Lattice="4.0883 0.0000 1.8089 1.3915 4.9505 2.3795 -0.0625 0.0111 5.6658" Properties=species:S:1:pos:R:3 pbc="T T T"
Pa 2.0442 0.0000 0.9044
Al 1.4595 2.8311 2.2260
Al 2.7087 2.4808 4.9271
Al 0.7743 0.5036 3.7745
Al 3.9579 2.1305 7.6282
Al 4.6431 4.4579 6.0797
```

Computed properties:
E_form   -121 meV per atom

Record 4
Computed, not measured: crystalline PaAl6 at its relaxed geometry at the PBE level of DFT.

```
7
Lattice="-2.5173 -5.3128 1.5414 6.0510 -0.4476 0.3510 -1.9342 4.3352 3.7952" Properties=species:S:1:pos:R:3 pbc="T T T"
Al 0.6540 -3.1246 2.2804
Al 0.9455 1.6994 3.4072
Al -1.3423 -1.9289 3.1414
Al -1.1966 0.4831 3.7048
Al 2.9418 0.5037 2.5462
Al 2.7961 -1.9083 1.9827
Pa 0.0000 0.0000 0.0000
```

Computed properties:
E_form   704 meV per atom

Record 5
Computed, not measured: crystalline PaAl4Pb at its relaxed geometry at the PBE level of DFT.

```
6
Lattice="-3.2025 2.3696 -3.9067 0.1387 -1.8935 -5.2467 -4.3720 -2.7720 -2.0820" Properties=species:S:1:pos:R:3 pbc="T T T"
Pb -1.8589 -0.5740 -2.8089
Al -2.4560 -0.0443 -5.9827
Al -4.7209 -0.4854 -4.3936
Al -4.6513 -1.4362 -7.0281
Al -3.0433 -2.6260 -5.0665
Pa 0.0000 0.0000 0.0000
```

Computed properties:
E_form   5 meV per atom

Record 6
Computed, not measured: crystalline PaAlPb2 at its relaxed geometry at the PBE level of DFT.

```
4
Lattice="4.5675 0.0000 0.0000 0.0000 4.7004 0.0000 0.0000 0.0000 4.7004" Properties=species:S:1:pos:R:3 pbc="T T T"
Pa 2.2838 0.0000 0.0000
Al 2.2838 2.3502 2.3502
Pb 0.0000 2.3502 0.0000
Pb 0.0000 0.0000 2.3502
```

Computed properties:
E_form   -12 meV per atom

Record 7
Computed, not measured: crystalline PmPaAlPb at its relaxed geometry at the PBE level of DFT.

```
4
Lattice="5.3415 0.0000 0.0000 2.6707 4.6259 0.0000 2.6707 1.5420 4.3613" Properties=species:S:1:pos:R:3 pbc="T T T"
Pm 5.3415 3.0839 2.1807
Pb 2.6707 1.5420 1.0903
Al 8.0122 4.6259 3.2710
Pa 0.0000 0.0000 0.0000
```

Computed properties:
E_form   -8 meV per atom

Record 8
Computed, not measured: crystalline PaAlPd2 at its relaxed geometry at the PBE level of DFT.

```
16
Lattice="-0.9294 0.3017 -5.6198 5.9085 -3.1479 -1.1462 -3.6336 -6.9039 0.2303" Properties=species:S:1:pos:R:3 pbc="T T T"
Pa -0.6996 -4.5750 -1.1037
Pa 0.3803 -8.6764 -4.3974
Pa 0.9651 -1.0737 -2.1384
Pa 2.0450 -5.1751 -5.4321
Pd -2.7473 -4.6161 -3.2618
Pd 0.1242 -7.3811 -0.9903
Pd -1.2111 -1.0731 -5.0736
Pd 1.6604 -3.8381 -2.8021
Pd 2.5565 -8.6770 -1.4621
Pd 4.0927 -5.1339 -3.2740
Pd -0.3150 -5.9120 -3.7337
Pd 1.2212 -2.3690 -5.5455
Al 3.8732 -3.0591 -1.8190
Al 1.9173 -6.4659 -2.5450
Al -0.5719 -3.2841 -3.9908
Al -2.5278 -6.6909 -4.7168
```

Computed properties:
E_form   -663 meV per atom

Record 9
Computed, not measured: crystalline PaAlPd2 at its relaxed geometry at the PBE level of DFT.

```
4
Lattice="-2.9634 1.6879 3.3165 -4.6900 -0.6628 -0.4416 -2.2632 -3.0003 2.9165" Properties=species:S:1:pos:R:3 pbc="T T T"
Pd -7.4374 -1.4814 4.3436
Pd -2.4791 -0.4938 1.4479
Pa 0.0000 0.0000 0.0000
Al -4.9583 -0.9876 2.8958
```

Computed properties:
E_form   -578 meV per atom

Record 10
Computed, not measured: crystalline Pa2Al9Pd3 at its relaxed geometry at the PBE level of DFT.

```
28
Lattice="7.0633 -0.0229 -2.9594 -4.1519 6.4351 -0.0171 0.3488 0.2397 10.6765" Properties=species:S:1:pos:R:3 pbc="T T T"
Al 5.9269 0.9727 5.4118
Al 4.6019 2.1960 7.5960
Al -0.4613 3.4991 5.4440
Al -0.3121 6.0709 6.6235
Al -2.6667 5.6792 2.2883
Al 0.4107 1.0191 4.2334
Al 3.2473 1.3374 4.4058
Al 0.0129 5.3145 3.2942
Al 2.4088 2.2949 -0.8759
Al 0.8514 4.3569 8.5760
Al 2.8495 5.6328 3.4667
Al -2.8546 6.5243 9.6115
Al 3.7215 3.1527 2.2560
Al 2.0385 4.7283 6.0304
Al 1.2217 1.9236 1.6697
Al 6.1148 0.1276 -1.9115
Al -1.3417 4.4559 0.1041
Al 3.5723 0.5810 1.0766
Pa 1.5863 1.7744 7.0133
Pa 1.6740 4.8775 0.6868
Pa -1.6338 2.7364 2.6578
Pa 4.8940 3.9155 5.0422
Pd 3.4614 4.5031 8.1988
Pd -0.2012 2.1487 -0.4987
Pd 1.6301 3.3259 3.8500
Pd 5.3693 1.1798 2.8625
Pd -2.1091 5.4721 4.8375
Pd 3.5317 -0.0114 -1.4797
```

Computed properties:
E_form   -500 meV per atom

Record 11
Computed, not measured: crystalline PaAlPd4 at its relaxed geometry at the PBE level of DFT.

```
12
Lattice="7.1410 0.1443 0.0000 -0.1112 5.6847 0.0000 0.0000 0.0000 5.6852" Properties=species:S:1:pos:R:3 pbc="T T T"
Pd 5.0935 2.9458 0.0003
Pd 5.0375 5.7881 2.8429
Pd 5.0932 2.9457 2.8423
Pd 1.9363 2.8833 5.6848
Pd 1.9919 0.0409 0.0003
Pd 1.9922 0.0409 2.8423
Pd 5.0379 5.7881 5.6848
Pd 1.9366 2.8833 2.8429
Pa -0.0278 1.4212 4.2637
Pa -0.0834 4.2635 1.4215
Al 3.4871 4.3357 4.2641
Al 3.5427 1.4933 1.4210
```

Computed properties:
E_form   -557 meV per atom

Record 12
Computed, not measured: crystalline Pa3Al7Pd2 at its relaxed geometry at the PBE level of DFT.

```
12
Lattice="-3.3624 3.1959 -2.9097 -4.9170 -1.8683 -1.5228 -6.1888 3.5000 5.8433" Properties=species:S:1:pos:R:3 pbc="T T T"
Al -7.8162 1.8023 3.3352
Al -9.5317 3.4328 1.8508
Al -6.6520 3.0254 -1.9244
Al -7.4451 0.4417 -1.2169
Al -7.2341 2.4138 0.7054
Al -4.9366 1.3949 -0.4400
Al -7.0231 4.3859 2.6277
Pa -9.7675 2.6545 -1.2555
Pa 0.0000 0.0000 0.0000
Pa -4.7007 2.1732 2.6663
Pd -5.5428 0.9057 -2.9056
Pd -8.9255 3.9219 4.3164
```

Computed properties:
E_form   -506 meV per atom

> Which of these has the highest E_form?

PaAl6